Density functional theory data (PBE) for crystalline HoCdIn at its relaxed geometry.

## Properties
The value obtained for the total energy is -0.0982 Ha/atom.

a = 7.098 Å, b = 7.098 Å, c = 7.098 Å
α = 90.00°, β = 90.00°, γ = 90.00°
Space group F-43m (No. 216)
Asymmetric unit:
Ho  0.000  0.000  0.000 (multiplicity 4)
Cd  0.250  0.250  0.750 (multiplicity 4)
In  0.250  0.250  0.250 (multiplicity 4)